Density functional theory data (GGA-PBE) for a relaxed structure of PmEr4Tl.

Cell: 5.533 6.503 10.879 Å, 90.00 104.73 90.00°
Fractional positions:
Pm1 0.937 0.768 0.873
Pm2 0.063 0.268 0.127
Er1 0.861 0.255 0.721
Er2 0.139 0.755 0.279
Er3 0.459 0.092 0.918
Er4 0.541 0.592 0.082
Er5 0.683 0.412 0.366
Er6 0.317 0.912 0.634
Er7 0.745 0.890 0.489
Er8 0.255 0.390 0.511
Tl1 0.602 0.016 0.205
Tl2 0.398 0.516 0.795

Values from the calculation:
uncorrected energy = -50.37 eV for the cell shown
symmetry = Cmc2_1 (36)
excess energy over the best structure of this formula in the dataset = 133 meV per atom